No. 1
Tb4Ho3Sc5 PBE relaxed; M_tot = 0.06 μB per atom; formation energy = 0.242 eV/atom; electronic total energy = -5.08 eV/atom; mass density = 6.420 g/cm³
1.0
7.6871 -2.8383 0.0000
7.6871 2.8383 0.0000
-4.5904 0.0000 8.0335
Tb Ho Sc
4 3 5
direct
0.0870 0.0870 0.4456
0.2103 0.2103 0.8831
0.7897 0.7897 0.1169
0.9130 0.9130 0.5544
0.2273 0.2273 0.2598
0.5000 0.5000 0.0000
0.7727 0.7727 0.7402
0.0000 0.0000 0.0000
0.3333 0.3333 0.6375
0.4384 0.4384 0.2981
0.5616 0.5616 0.7019
0.6667 0.6667 0.3625

=====

No. 2
Tl5Hg2Se4 PBE relaxed; M_tot = 0.00 μB per atom; ΔE_f (raw) = -0.25 eV/atom; electronic total energy = -2.64 eV/atom; mass density = 7.203 g/cm³
1.0
9.2830 -2.2012 0.0000
9.2830 2.2012 0.0000
-2.8887 0.0000 9.8087
Tl Hg Se
5 2 4
direct
0.0000 0.0000 0.0000
0.2960 0.2960 0.1425
0.3514 0.3514 0.5753
0.6486 0.6486 0.4247
0.7040 0.7040 0.8575
0.0422 0.0422 0.6360
0.9578 0.9578 0.3640
0.1970 0.1970 0.6482
0.4685 0.4685 0.2041
0.5315 0.5315 0.7959
0.8030 0.8030 0.3518

=====

No. 3
Y4GeSe3 PBE relaxed; M_tot = 0.00 μB per atom; ΔE_f (raw) = -1.64 eV/atom; electronic total energy = -6.76 eV/atom; mass density = 5.639 g/cm³
1.0
5.8073 0.0000 0.0000
0.0000 5.8073 0.0000
0.0000 0.0000 5.8073
Y Ge Se
4 1 3
direct
0.0000 0.0000 0.0000
0.0000 0.5000 0.5000
0.5000 0.0000 0.5000
0.5000 0.5000 0.0000
0.5000 0.5000 0.5000
0.0000 0.0000 0.5000
0.0000 0.5000 0.0000
0.5000 0.0000 0.0000